Record 1
A plane-wave DFT calculation with PBE was carried out for crystalline MnTcS2 at its relaxed geometry.

Lattice parameters (Å, degrees): 2.9983 2.9983 22.5952 90.00 90.00 120.00
Last column: nearest neighbours and their distance in Å.
Space group R-3m (No. 166, hexagonal axes)
Unique sites:
Mn1 0.0000 0.0000 0.0000 [3 per cell]  6 S 2.28
Tc1 0.0000 0.0000 0.5000 [3 per cell]  2 S 2.28
S1 0.0000 0.0000 0.3992 [6 per cell]  1 Tc 2.28, 3 Mn 2.28

Calculated values
- formation energy without anion corrections (meV per atom) = -99
- uncorrected energy (eV per cell) = -84.6
- V (Å³/cell) = 175.92
- polymorph energy (0 for the lowest one) (meV per atom) = 98
- theoretical density (g/cm3) = 6.15

Record 2
A plane-wave DFT calculation with PBE was carried out for crystalline MnTc3S at its relaxed geometry.

Lattice parameters (Å, degrees): 4.2874 4.2874 4.2874 90.00 90.00 90.00
Last column: nearest neighbours and their distance in Å.
Space group Pm-3m (No. 221)
Unique sites:
Mn1 0.0000 0.0000 0.0000 [1 per cell]  12 Tc 3.03
Tc1 0.0000 0.5000 0.5000 [3 per cell]  2 S 2.14
S1 0.5000 0.5000 0.5000 [1 per cell]  6 Tc 2.14

Calculated values
- formation energy without anion corrections (meV per atom) = 851
- uncorrected energy (eV per cell) = -40.1
- V (Å³/cell) = 78.81
- polymorph energy (0 for the lowest one) (meV per atom) = 0
- theoretical density (g/cm3) = 8.03

Record 3
A plane-wave DFT calculation with PBE was carried out for crystalline MnTcS2 at its relaxed geometry.

Lattice parameters (Å, degrees): 5.1672 5.1672 9.9466 90.00 90.00 90.00
Last column: nearest neighbours and their distance in Å.
Space group I-42d (No. 122)
Unique sites:
Mn1 0.0000 0.0000 0.0000 [4 per cell]  4 S 2.15
Tc1 0.0000 0.0000 0.5000 [4 per cell]  4 S 2.28
S1 0.2283 0.2500 0.1250 [8 per cell]  2 Mn 2.15, 2 Tc 2.28

Calculated values
- formation energy without anion corrections (meV per atom) = -197
- uncorrected energy (eV per cell) = -114.3
- V (Å³/cell) = 265.58
- polymorph energy (0 for the lowest one) (meV per atom) = 0
- theoretical density (g/cm3) = 5.43

- Number 3 is which compound?
  MnTcS2

- Which of these has the highest polymorph energy (0 for the lowest one)?
  number 1

- The highest uncorrected energy belongs to which entry?
  MnTc3S